Record 1
Co2IrW after structural relaxation, computed with PBE-GGA.

The structure in POSCAR format:
```
Co2IrW
1.0
-1.824 1.824 8.618
1.824 -1.824 8.618
1.824 1.824 -8.618
Co Ir W
4 2 2
Direct
0.109 0.625 0.984
0.375 0.359 0.484
0.641 0.125 0.016
0.875 0.891 0.516
0.000 0.000 0.000
0.750 0.250 0.500
0.250 0.750 0.500
0.500 0.500 0.000
```

Properties
Raw total energy: -67.98 eV per cell
Energy of formation from the pure elements: 0.509 eV per atom



Record 2
CoIrW2 after structural relaxation, computed with PBE-GGA.

The structure in POSCAR format:
```
CoIrW2
1.0
2.749 0.000 0.000
0.000 4.385 0.000
0.000 0.000 4.759
Co Ir W
1 1 2
Direct
0.000 0.000 0.000
0.000 0.500 0.647
0.500 0.000 0.486
0.500 0.500 0.133
```

Properties
Energy above the lowest structure with this stoichiometry: 0.029 eV/atom
Raw total energy: -42.24 eV per cell
Energy of formation from the pure elements: -0.093 eV per atom



Record 3
Co2IrW after structural relaxation, computed with PBE-GGA.

The structure in POSCAR format:
```
Co2IrW
1.0
2.642 -3.630 0.000
2.642 3.630 0.000
0.000 0.000 2.693
Co Ir W
2 1 1
Direct
0.000 0.500 0.000
0.500 0.000 0.000
0.000 0.000 0.500
0.500 0.500 0.500
```

Properties
Raw total energy: -35.96 eV per cell
Energy of formation from the pure elements: 0.017 eV per atom



Record 4
CoIrW2 after structural relaxation, computed with PBE-GGA.

The structure in POSCAR format:
```
CoIrW2
1.0
2.815 0.000 0.000
0.000 3.624 0.000
0.000 0.000 5.681
Co Ir W
1 1 2
Direct
0.000 0.000 0.000
0.500 0.500 0.258
0.000 0.000 0.502
0.500 0.500 0.797
```

Properties
Energy above the lowest structure with this stoichiometry: 0.128 eV/atom
Raw total energy: -41.85 eV per cell
Energy of formation from the pure elements: 0.006 eV per atom



Record 5
CoIrW after structural relaxation, computed with PBE-GGA.

The structure in POSCAR format:
```
CoIrW
1.0
1.392 -11.072 0.000
1.392 11.072 0.000
0.000 0.000 2.750
Co Ir W
2 2 2
Direct
0.217 0.783 0.750
0.783 0.217 0.250
0.053 0.947 0.750
0.947 0.053 0.250
0.364 0.636 0.750
0.636 0.364 0.250
```

Properties
Energy above the lowest structure with this stoichiometry: 0.166 eV/atom
Raw total energy: -57.56 eV per cell
Energy of formation from the pure elements: 0.046 eV per atom



Record 6
CoIr6W5 after structural relaxation, computed with PBE-GGA.

The structure in POSCAR format:
```
CoIr6W5
1.0
-1.953 3.889 5.851
1.953 -3.889 5.851
1.953 3.889 -5.851
Co Ir W
1 6 5
Direct
0.000 0.000 0.000
0.082 0.834 0.248
0.246 0.500 0.746
0.414 0.166 0.248
0.586 0.834 0.752
0.754 0.500 0.254
0.918 0.166 0.752
0.164 0.664 0.500
0.334 0.334 0.000
0.500 0.000 0.500
0.666 0.666 0.000
0.836 0.336 0.500
```

Properties
Raw total energy: -127.79 eV per cell
Energy of formation from the pure elements: -0.229 eV per atom



Record 7
Co2IrW after structural relaxation, computed with PBE-GGA.

The structure in POSCAR format:
```
Co2IrW
1.0
0.000 2.990 2.990
2.990 0.000 2.990
2.990 2.990 0.000
Co Ir W
2 1 1
Direct
0.000 0.000 0.000
0.250 0.250 0.250
0.500 0.500 0.500
0.750 0.750 0.750
```

Properties
Raw total energy: -35.42 eV per cell
Energy of formation from the pure elements: 0.151 eV per atom



Record 8
CoIr2W2 after structural relaxation, computed with PBE-GGA.

The structure in POSCAR format:
```
CoIr2W2
1.0
-1.859 1.859 6.147
1.859 -1.859 6.147
1.859 1.859 -6.147
Co Ir W
1 2 2
Direct
0.000 0.000 0.000
0.250 0.750 0.500
0.750 0.250 0.500
0.398 0.398 0.000
0.602 0.602 0.000
```

Properties
Energy above the lowest structure with this stoichiometry: 0.828 eV/atom
Raw total energy: -47.26 eV per cell
Energy of formation from the pure elements: 0.696 eV per atom



Record 9
CoIrW2 after structural relaxation, computed with PBE-GGA.

The structure in POSCAR format:
```
CoIrW2
1.0
-1.933 1.933 3.854
1.933 -1.933 3.854
1.933 1.933 -3.854
Co Ir W
1 1 2
Direct
0.000 0.000 0.000
0.750 0.250 0.500
0.250 0.750 0.500
0.500 0.500 0.000
```

Properties
Energy above the lowest structure with this stoichiometry: 0.148 eV/atom
Raw total energy: -41.77 eV per cell
Energy of formation from the pure elements: 0.026 eV per atom



Record 10
Co2IrW after structural relaxation, computed with PBE-GGA.

The structure in POSCAR format:
```
Co2IrW
1.0
3.739 0.000 0.000
0.000 3.739 0.000
0.000 0.000 3.667
Co Ir W
2 1 1
Direct
0.000 0.500 0.000
0.500 0.000 0.000
0.000 0.000 0.500
0.500 0.500 0.500
```

Properties
Raw total energy: -36.53 eV per cell
Energy of formation from the pure elements: -0.126 eV per atom



Record 11
CoIrW2 after structural relaxation, computed with PBE-GGA.

The structure in POSCAR format:
```
CoIrW2
1.0
2.736 0.000 0.000
0.000 3.846 0.000
-0.040 0.000 5.437
Co Ir W
1 1 2
Direct
0.000 0.000 0.000
0.000 0.000 0.500
0.497 0.500 0.242
0.503 0.500 0.758
```

Properties
Energy above the lowest structure with this stoichiometry: 0.021 eV/atom
Raw total energy: -42.28 eV per cell
Energy of formation from the pure elements: -0.101 eV per atom



Record 12
Co2Ir2W3 after structural relaxation, computed with PBE-GGA.

The structure in POSCAR format:
```
Co2Ir2W3
1.0
1.968 -9.089 0.000
1.968 9.089 0.000
0.000 0.000 2.732
Co Ir W
2 2 3
Direct
0.216 0.784 0.000
0.784 0.216 0.000
0.076 0.924 0.000
0.924 0.076 0.000
0.340 0.660 0.500
0.500 0.500 0.500
0.660 0.340 0.500
```

Properties
Raw total energy: -71.46 eV per cell
Energy of formation from the pure elements: -0.096 eV per atom



Record 13
Co2IrW after structural relaxation, computed with PBE-GGA.

The structure in POSCAR format:
```
Co2IrW
1.0
2.719 0.000 0.000
0.000 3.629 0.000
0.000 0.000 5.314
Co Ir W
2 1 1
Direct
0.000 0.000 0.000
0.500 0.500 0.209
0.000 0.000 0.473
0.500 0.500 0.746
```

Properties
Raw total energy: -36.24 eV per cell
Energy of formation from the pure elements: -0.053 eV per atom



Record 14
Co2IrW after structural relaxation, computed with PBE-GGA.

The structure in POSCAR format:
```
Co2IrW
1.0
4.367 -1.354 0.000
4.367 1.354 0.000
-0.844 0.000 4.416
Co Ir W
2 1 1
Direct
0.000 0.000 0.000
0.744 0.744 0.228
0.251 0.251 0.749
0.494 0.494 0.481
```

Properties
Raw total energy: -36.01 eV per cell
Energy of formation from the pure elements: 0.005 eV per atom



Record 15
CoIrW2 after structural relaxation, computed with PBE-GGA.

The structure in POSCAR format:
```
CoIrW2
1.0
0.000 3.089 3.089
3.089 0.000 3.089
3.089 3.089 0.000
Co Ir W
1 1 2
Direct
0.000 0.000 0.000
0.500 0.500 0.500
0.250 0.250 0.250
0.750 0.750 0.750
```

Properties
Energy above the lowest structure with this stoichiometry: 0.476 eV/atom
Raw total energy: -40.46 eV per cell
Energy of formation from the pure elements: 0.354 eV per atom



Record 16
CoIrW2 after structural relaxation, computed with PBE-GGA.

The structure in POSCAR format:
```
CoIrW2
1.0
2.742 0.000 0.000
0.000 2.742 0.000
0.000 0.000 7.670
Co Ir W
1 1 2
Direct
0.000 0.000 0.000
0.500 0.500 0.238
0.000 0.000 0.486
0.500 0.500 0.774
```

Properties
Energy above the lowest structure with this stoichiometry: 0.149 eV/atom
Raw total energy: -41.77 eV per cell
Energy of formation from the pure elements: 0.027 eV per atom



Record 17
Co2IrW2 after structural relaxation, computed with PBE-GGA.

The structure in POSCAR format:
```
Co2IrW2
1.0
-1.540 1.540 7.512
1.540 -1.540 7.512
1.540 1.540 -7.512
Co Ir W
2 1 2
Direct
0.250 0.750 0.500
0.750 0.250 0.500
0.000 0.000 0.000
0.383 0.383 0.000
0.617 0.617 0.000
```

Properties
Energy above the lowest structure with this stoichiometry: 0.415 eV/atom
Raw total energy: -47.00 eV per cell
Energy of formation from the pure elements: 0.397 eV per atom



Record 18
Co2IrW2 after structural relaxation, computed with PBE-GGA.

The structure in POSCAR format:
```
Co2IrW2
1.0
6.881 0.000 0.000
0.000 6.881 0.000
0.000 0.000 2.844
Co Ir W
4 2 4
Direct
0.123 0.377 0.000
0.377 0.877 0.000
0.623 0.123 0.000
0.877 0.623 0.000
0.000 0.000 0.000
0.500 0.500 0.000
0.175 0.675 0.500
0.325 0.175 0.500
0.675 0.825 0.500
0.825 0.325 0.500
```

Properties
Energy above the lowest structure with this stoichiometry: 0.000 eV/atom
Raw total energy: -98.15 eV per cell
Energy of formation from the pure elements: -0.019 eV per atom



Record 19
Co2Ir2W after structural relaxation, computed with PBE-GGA.

The structure in POSCAR format:
```
Co2Ir2W
1.0
7.083 0.000 0.000
0.000 7.083 0.000
0.000 0.000 2.729
Co Ir W
4 4 2
Direct
0.168 0.332 0.000
0.332 0.832 0.000
0.668 0.168 0.000
0.832 0.668 0.000
0.130 0.630 0.500
0.370 0.130 0.500
0.630 0.870 0.500
0.870 0.370 0.500
0.000 0.000 0.500
0.500 0.500 0.500
```

Properties
Energy above the lowest structure with this stoichiometry: 0.105 eV/atom
Raw total energy: -87.91 eV per cell
Energy of formation from the pure elements: 0.186 eV per atom



Record 20
Co2IrW after structural relaxation, computed with PBE-GGA.

The structure in POSCAR format:
```
Co2IrW
1.0
1.343 0.775 8.565
-1.343 0.775 8.565
0.000 -1.550 8.565
Co Ir W
2 1 1
Direct
0.249 0.249 0.249
0.751 0.751 0.751
0.500 0.500 0.500
0.000 0.000 0.000
```

Properties
Raw total energy: -35.30 eV per cell
Energy of formation from the pure elements: 0.183 eV per atom